# CeScMn17 (PBE, optimized geometry)
# Space group: R3m, No. 160
# Crystal system: trigonal
# N(E_F), states/eV/f.u.: 26.1
# DFT total energy, eV/atom: -8.811
data_CeScMn17
_chemical_formula_sum 'Ce1 Sc1 Mn17'
_space_group_name_H-M_alt 'P 1'
_space_group_IT_number 1
_cell_length_a 6.2535
_cell_length_b 6.2535
_cell_length_c 6.2535
_cell_angle_alpha 81.62
_cell_angle_beta 81.62
_cell_angle_gamma 81.62
loop_
_space_group_symop_operation_xyz
'x,y,z'
loop_
_atom_site_label
_atom_site_type_symbol
_atom_site_fract_x
_atom_site_fract_y
_atom_site_fract_z
Mn1 Mn 0.0923 0.0923 0.0923
Mn2 Mn 0.9079 0.9079 0.9079
Mn3 Mn 0.0067 0.4948 0.0067
Mn4 Mn 0.7084 0.2915 0.0017
Mn5 Mn 0.8417 0.3424 0.3424
Mn6 Mn 0.4948 0.0067 0.0067
Mn7 Mn 0.6580 0.1498 0.6580
Mn8 Mn 0.6580 0.6580 0.1498
Mn9 Mn 0.0067 0.0067 0.4948
Mn10 Mn 0.1498 0.6580 0.6580
Mn11 Mn 0.2915 0.7084 0.0017
Mn12 Mn 0.7084 0.0017 0.2915
Mn13 Mn 0.3424 0.3424 0.8417
Mn14 Mn 0.0017 0.2915 0.7084
Mn15 Mn 0.0017 0.7084 0.2915
Mn16 Mn 0.2915 0.0017 0.7084
Mn17 Mn 0.3424 0.8417 0.3424
Ce1 Ce 0.6536 0.6536 0.6536
Sc1 Sc 0.3424 0.3424 0.3424

***

# CeScMn4 (PBE, optimized geometry)
# Space group: F-43m, No. 216
# Crystal system: cubic
# N(E_F), states/eV/f.u.: 9.7
# DFT total energy, eV/atom: -8.114
data_CeScMn4
_chemical_formula_sum 'Ce1 Sc1 Mn4'
_space_group_name_H-M_alt 'P 1'
_space_group_IT_number 1
_cell_length_a 5.0501
_cell_length_b 5.0501
_cell_length_c 5.0501
_cell_angle_alpha 60.00
_cell_angle_beta 60.00
_cell_angle_gamma 60.00
loop_
_space_group_symop_operation_xyz
'x,y,z'
loop_
_atom_site_label
_atom_site_type_symbol
_atom_site_fract_x
_atom_site_fract_y
_atom_site_fract_z
Ce1 Ce 0.2500 0.2500 0.2500
Mn1 Mn 0.6254 0.6254 0.1239
Mn2 Mn 0.1239 0.6254 0.6254
Mn3 Mn 0.6254 0.1239 0.6254
Mn4 Mn 0.6254 0.6254 0.6254
Sc1 Sc 0.0000 0.0000 0.0000

***

# CeScMnSi2 (PBE, optimized geometry)
# ΔE_f (raw), eV per atom: -0.562
# Space group: I-4m2, No. 119
# Crystal system: tetragonal
# N(E_F), states/eV/f.u.: 6.1
# DFT total energy, eV/atom: -7.018
data_CeScMnSi2
_chemical_formula_sum 'Ce1 Sc1 Mn1 Si2'
_space_group_name_H-M_alt 'P 1'
_space_group_IT_number 1
_cell_length_a 4.1089
_cell_length_b 4.1089
_cell_length_c 6.3319
_cell_angle_alpha 108.93
_cell_angle_beta 108.93
_cell_angle_gamma 90.00
loop_
_space_group_symop_operation_xyz
'x,y,z'
loop_
_atom_site_label
_atom_site_type_symbol
_atom_site_fract_x
_atom_site_fract_y
_atom_site_fract_z
Si1 Si 0.6054 0.6054 0.2108
Si2 Si 0.3946 0.3946 0.7892
Mn1 Mn 0.7500 0.2500 0.5000
Ce1 Ce 0.0000 0.0000 0.0000
Sc1 Sc 0.2500 0.7500 0.5000

***

# CeScMnTc (PBE, optimized geometry)
# Space group: F-43m, No. 216
# Crystal system: cubic
# N(E_F), states/eV/f.u.: 4.2
# DFT total energy, eV/atom: -7.959
data_CeScMnTc
_chemical_formula_sum 'Ce1 Sc1 Mn1 Tc1'
_space_group_name_H-M_alt 'P 1'
_space_group_IT_number 1
_cell_length_a 4.7151
_cell_length_b 4.7151
_cell_length_c 4.7151
_cell_angle_alpha 60.00
_cell_angle_beta 60.00
_cell_angle_gamma 60.00
loop_
_space_group_symop_operation_xyz
'x,y,z'
loop_
_atom_site_label
_atom_site_type_symbol
_atom_site_fract_x
_atom_site_fract_y
_atom_site_fract_z
Ce1 Ce 0.2500 0.2500 0.2500
Sc1 Sc 0.7500 0.7500 0.7500
Mn1 Mn 0.0000 0.0000 0.0000
Tc1 Tc 0.5000 0.5000 0.5000

***

# CeMnSe2 (PBE, optimized geometry)
# ΔE_f (raw), eV per atom: -0.480
# Space group: R-3m, No. 166
# Crystal system: trigonal
# N(E_F), states/eV/f.u.: 5.0
# DFT total energy, eV/atom: -5.998
data_CeMnSe2
_chemical_formula_sum 'Ce1 Mn1 Se2'
_space_group_name_H-M_alt 'P 1'
_space_group_IT_number 1
_cell_length_a 3.8135
_cell_length_b 3.8135
_cell_length_c 8.7598
_cell_angle_alpha 77.43
_cell_angle_beta 77.43
_cell_angle_gamma 60.00
loop_
_space_group_symop_operation_xyz
'x,y,z'
loop_
_atom_site_label
_atom_site_type_symbol
_atom_site_fract_x
_atom_site_fract_y
_atom_site_fract_z
Mn1 Mn 0.5000 0.5000 0.5000
Se1 Se 0.1109 0.1109 0.6673
Se2 Se 0.8891 0.8891 0.3327
Ce1 Ce 0.0000 0.0000 0.0000

***

# CeMn2Tl3Se6 (PBE, optimized geometry)
# ΔE_f (raw), eV per atom: -0.722
# Space group: C2/m, No. 12
# Crystal system: monoclinic
# N(E_F), states/eV/f.u.: 5.2
# DFT total energy, eV/atom: -5.079
data_CeMn2Tl3Se6
_chemical_formula_sum 'Ce1 Mn2 Tl3 Se6'
_space_group_name_H-M_alt 'P 1'
_space_group_IT_number 1
_cell_length_a 6.8549
_cell_length_b 6.8549
_cell_length_c 8.0791
_cell_angle_alpha 98.26
_cell_angle_beta 98.26
_cell_angle_gamma 119.47
loop_
_space_group_symop_operation_xyz
'x,y,z'
loop_
_atom_site_label
_atom_site_type_symbol
_atom_site_fract_x
_atom_site_fract_y
_atom_site_fract_z
Se1 Se 0.4220 0.0621 0.1959
Se2 Se 0.2977 0.2977 0.8124
Se3 Se 0.9379 0.5780 0.8041
Se4 Se 0.5780 0.9379 0.8041
Se5 Se 0.7023 0.7023 0.1876
Se6 Se 0.0621 0.4220 0.1959
Tl1 Tl 0.1586 0.8414 0.5000
Tl2 Tl 0.8414 0.1586 0.5000
Tl3 Tl 0.5000 0.5000 0.5000
Ce1 Ce 0.0000 0.0000 0.0000
Mn1 Mn 0.3320 0.6680 0.0000
Mn2 Mn 0.6680 0.3320 0.0000

***

# Ce2MnTl2Se6 (PBE, optimized geometry)
# ΔE_f (raw), eV per atom: -1.071
# Space group: C2/m, No. 12
# Crystal system: monoclinic
# N(E_F), states/eV/f.u.: 1.8
# DFT total energy, eV/atom: -5.315
data_Ce2MnTl2Se6
_chemical_formula_sum 'Ce2 Mn1 Tl2 Se6'
_space_group_name_H-M_alt 'P 1'
_space_group_IT_number 1
_cell_length_a 7.1192
_cell_length_b 7.1192
_cell_length_c 8.1270
_cell_angle_alpha 98.53
_cell_angle_beta 98.53
_cell_angle_gamma 120.00
loop_
_space_group_symop_operation_xyz
'x,y,z'
loop_
_atom_site_label
_atom_site_type_symbol
_atom_site_fract_x
_atom_site_fract_y
_atom_site_fract_z
Mn1 Mn 0.0000 0.0000 0.5000
Se1 Se 0.7550 0.7550 0.6951
Se2 Se 0.2450 0.2450 0.3049
Se3 Se 0.9324 0.6087 0.2996
Se4 Se 0.0676 0.3913 0.7004
Se5 Se 0.6087 0.9324 0.2996
Se6 Se 0.3913 0.0676 0.7004
Tl1 Tl 0.8299 0.1701 0.0000
Tl2 Tl 0.1701 0.8299 0.0000
Ce1 Ce 0.6661 0.3339 0.5000
Ce2 Ce 0.3339 0.6661 0.5000

***

# CeMnTlSe4 (PBE, optimized geometry)
# ΔE_f (raw), eV per atom: -0.912
# Space group: P2_1/m, No. 11
# Crystal system: monoclinic
# N(E_F), states/eV/f.u.: 3.8
# DFT total energy, eV/atom: -5.398
data_CeMnTlSe4
_chemical_formula_sum 'Ce2 Mn2 Tl2 Se8'
_space_group_name_H-M_alt 'P 1'
_space_group_IT_number 1
_cell_length_a 6.9187
_cell_length_b 6.3985
_cell_length_c 9.1886
_cell_angle_alpha 90.00
_cell_angle_beta 107.94
_cell_angle_gamma 90.00
loop_
_space_group_symop_operation_xyz
'x,y,z'
loop_
_atom_site_label
_atom_site_type_symbol
_atom_site_fract_x
_atom_site_fract_y
_atom_site_fract_z
Se1 Se 0.5717 0.2500 0.8413
Se2 Se 0.0226 0.5129 0.7179
Se3 Se 0.9774 0.4871 0.2821
Se4 Se 0.0226 0.9871 0.7179
Se5 Se 0.4236 0.7500 0.5842
Se6 Se 0.5764 0.2500 0.4158
Se7 Se 0.4283 0.7500 0.1587
Se8 Se 0.9774 0.0129 0.2821
Ce1 Ce 0.7544 0.7500 0.4440
Ce2 Ce 0.2456 0.2500 0.5560
Tl1 Tl 0.2781 0.2500 0.0614
Tl2 Tl 0.7219 0.7500 0.9386
Mn1 Mn 0.7759 0.2500 0.6765
Mn2 Mn 0.2241 0.7500 0.3235